Record 1
VMo3W4 | GGA-PBE | optimized geometry

Unit cell a=5.3791 b=5.3467 c=8.9247 alpha=90.00 beta=90.00 gamma=90.00
Fractional positions:
Mo1 0.8145 0.7480 0.0000
Mo2 0.3145 0.2520 0.5000
Mo3 0.0650 0.5875 0.2507
Mo4 0.5650 0.4125 0.2493
Mo5 0.5650 0.4125 0.7507
Mo6 0.0650 0.5875 0.7493
W1 0.3145 0.7514 0.0000
W2 0.0646 0.0862 0.2493
W3 0.3136 0.2514 0.0000
W4 0.0646 0.0862 0.7507
W5 0.8145 0.2486 0.5000
W6 0.8136 0.7486 0.5000
W7 0.5646 0.9138 0.7493
W8 0.5646 0.9138 0.2507
V1 0.8135 0.2478 0.0000
V2 0.3135 0.7522 0.5000

Calculated values
The energy of formation from the pure elements is 1.6 eV per formula unit. The value obtained for the offset from the most stable computed form is 260 meV/atom. As for the crystal system: orthorhombic. The value obtained for the volume is 128.3 Å³/f.u.


Record 2
V7Mo12W | GGA-PBE | optimized geometry

Unit cell a=6.8621 b=6.8621 c=6.8621 alpha=86.77 beta=86.77 gamma=86.77
Fractional positions:
W1 0.0000 0.0000 0.0000
Mo1 0.5111 0.6234 0.1386
Mo2 0.6234 0.1386 0.5111
Mo3 0.8614 0.4889 0.3766
Mo4 0.4889 0.3766 0.8614
Mo5 0.1407 0.7194 0.2534
Mo6 0.8593 0.2806 0.7466
Mo7 0.2534 0.1407 0.7194
Mo8 0.7194 0.2534 0.1407
Mo9 0.7466 0.8593 0.2806
Mo10 0.3766 0.8614 0.4889
Mo11 0.1386 0.5111 0.6234
Mo12 0.2806 0.7466 0.8593
V1 0.0500 0.1326 0.3698
V2 0.8674 0.6302 0.9500
V3 0.5000 0.5000 0.5000
V4 0.9500 0.8674 0.6302
V5 0.1326 0.3698 0.0500
V6 0.6302 0.9500 0.8674
V7 0.3698 0.0500 0.1326

Calculated values
The energy of formation from the pure elements is 6.8 eV per formula unit. As for the crystal system: trigonal. The value obtained for the volume is 321.6 Å³/f.u.


Record 3
VMo4W2 | GGA-PBE | optimized geometry

Unit cell a=2.6053 b=4.6441 c=9.5612 alpha=104.06 beta=90.00 gamma=90.00
Fractional positions:
W1 0.5000 0.2110 0.4220
W2 0.5000 0.7890 0.5780
Mo1 0.0000 0.6435 0.2870
Mo2 0.0000 0.3565 0.7130
Mo3 0.5000 0.9326 0.8652
Mo4 0.5000 0.0674 0.1348
V1 0.0000 0.5000 0.0000

Calculated values
The energy of formation from the pure elements is 2.2 eV per formula unit. The value obtained for the offset from the most stable computed form is 186 meV/atom. As for the crystal system: orthorhombic. The value obtained for the volume is 112.2 Å³/f.u.


Record 4
VMo3W2 | GGA-PBE | optimized geometry

Unit cell a=8.9079 b=5.2109 c=5.2109 alpha=129.51 beta=90.00 gamma=90.00
Fractional positions:
Mo1 0.4696 0.8348 0.1651
Mo2 0.9696 0.8349 0.1652
Mo3 0.4696 0.1651 0.8348
Mo4 0.4696 0.5000 0.5000
Mo5 0.9696 0.1652 0.8349
Mo6 0.9696 0.5000 0.5000
W1 0.2196 0.6662 0.3337
W2 0.7196 0.3338 0.6663
W3 0.2196 0.3337 0.6662
W4 0.7196 0.6663 0.3338
V1 0.7196 0.0001 0.0001
V2 0.2196 0.9999 0.9999

Calculated values
The energy of formation from the pure elements is -0.5 eV per formula unit. The value obtained for the offset from the most stable computed form is 0 meV/atom. As for the crystal system: orthorhombic. The value obtained for the volume is 93.3 Å³/f.u.


Record 5
V4Mo3W3 | GGA-PBE | optimized geometry

Unit cell a=3.0889 b=7.0771 c=7.0771 alpha=92.61 beta=90.00 gamma=90.00
Fractional positions:
Mo1 0.0000 0.0107 0.4929
Mo2 0.5000 0.1815 0.8185
Mo3 0.0000 0.5071 0.9893
W1 0.5000 0.3359 0.2797
W2 0.5000 0.7203 0.6641
W3 0.5000 0.7948 0.2052
V1 0.0000 0.1037 0.1250
V2 0.0000 0.6043 0.3957
V3 0.0000 0.8750 0.8963
V4 0.0000 0.3667 0.6333

Calculated values
The energy of formation from the pure elements is 4.1 eV per formula unit. As for the crystal system: orthorhombic. The value obtained for the volume is 154.6 Å³/f.u.


Record 6
V2Mo4W3 | GGA-PBE | optimized geometry

Unit cell a=4.8573 b=7.7225 c=7.7225 alpha=79.59 beta=89.98 gamma=89.98
Fractional positions:
V1 0.5002 0.1622 0.5111
V2 0.4998 0.8378 0.4889
V3 0.0002 0.5111 0.1622
V4 0.9998 0.4889 0.8378
Mo1 0.9999 0.8306 0.9760
Mo2 0.0001 0.1694 0.0240
Mo3 0.4999 0.6435 0.8190
Mo4 0.9999 0.8190 0.6435
Mo5 0.5001 0.0240 0.1694
Mo6 0.0001 0.1810 0.3565
Mo7 0.5001 0.3565 0.1810
Mo8 0.4999 0.9760 0.8306
W1 0.4999 0.3066 0.8287
W2 0.2500 0.5000 0.5000
W3 0.5001 0.6934 0.1713
W4 0.0001 0.1713 0.6934
W5 0.7500 0.5000 0.5000
W6 0.9999 0.8287 0.3066

Calculated values
The energy of formation from the pure elements is 1.6 eV per formula unit. The value obtained for the offset from the most stable computed form is 0 meV/atom. As for the crystal system: orthorhombic. The value obtained for the volume is 142.5 Å³/f.u.


Record 7
V2MoW6 | GGA-PBE | optimized geometry

Unit cell a=4.4815 b=7.8778 c=8.0011 alpha=90.00 beta=90.00 gamma=90.00
Fractional positions:
V1 0.5001 0.1644 0.2645
V2 0.4999 0.8356 0.7355
V3 0.9999 0.6644 0.2355
V4 0.0001 0.3356 0.7645
Mo1 0.5000 0.5000 0.0000
Mo2 0.0000 0.0000 0.5000
W1 0.0001 0.3347 0.4332
W2 0.0000 0.9989 0.1682
W3 0.0000 0.0011 0.8318
W4 0.9999 0.6653 0.5668
W5 0.0001 0.3335 0.0974
W6 0.5001 0.1653 0.9332
W7 0.4999 0.8335 0.4026
W8 0.9999 0.6665 0.9026
W9 0.5001 0.1665 0.5974
W10 0.5000 0.5011 0.6682
W11 0.4999 0.8347 0.0668
W12 0.5000 0.4989 0.3318

Calculated values
The energy of formation from the pure elements is 0.7 eV per formula unit. The value obtained for the offset from the most stable computed form is 142 meV/atom. As for the crystal system: orthorhombic. The value obtained for the volume is 141.2 Å³/f.u.


Record 8
V2Mo2W7 | GGA-PBE | optimized geometry

Unit cell a=9.1617 b=6.6163 c=6.6163 alpha=76.57 beta=133.81 gamma=133.81
Fractional positions:
Mo1 0.2540 0.7549 0.7549
Mo2 0.7460 0.2451 0.2451
V1 0.5000 0.3086 0.6914
V2 0.5000 0.6914 0.3086
W1 0.2345 0.1737 0.8273
W2 0.7655 0.1727 0.8263
W3 0.2345 0.8273 0.1737
W4 0.2759 0.4992 0.4992
W5 0.7655 0.8263 0.1727
W6 0.0000 0.0000 0.0000
W7 0.7241 0.5008 0.5008

Calculated values
The energy of formation from the pure elements is 5.1 eV per formula unit. The value obtained for the offset from the most stable computed form is 98 meV/atom. As for the crystal system: monoclinic. The value obtained for the volume is 183.9 Å³/f.u.


Record 9
V4Mo5W4 | GGA-PBE | optimized geometry

Unit cell a=4.4191 b=6.8015 c=7.6482 alpha=67.94 beta=73.21 gamma=71.04
Fractional positions:
Mo1 0.0000 0.0000 0.0000
Mo2 0.3057 0.1553 0.2334
Mo3 0.5379 0.7641 0.1601
Mo4 0.4621 0.2359 0.8399
Mo5 0.6943 0.8447 0.7666
V1 0.6130 0.3110 0.4629
V2 0.9245 0.4632 0.6878
V3 0.0755 0.5368 0.3122
V4 0.3870 0.6890 0.5371
W1 0.2323 0.6149 0.9206
W2 0.8467 0.9189 0.3877
W3 0.7677 0.3851 0.0795
W4 0.1533 0.0811 0.6123

Calculated values
The energy of formation from the pure elements is -1.1 eV per formula unit. As for the crystal system: monoclinic. The value obtained for the volume is 197.8 Å³/f.u.


Record 10
VMo4W7 | GGA-PBE | optimized geometry

Unit cell a=2.7298 b=9.8998 c=9.3681 alpha=121.58 beta=78.78 gamma=111.60
Fractional positions:
Mo1 0.5746 0.7070 0.2823
Mo2 0.4215 0.3197 0.7382
Mo3 0.1833 0.2422 0.4249
Mo4 0.0288 0.8643 0.8961
W1 0.8920 0.4731 0.3547
W2 0.7378 0.0866 0.8195
W3 0.2798 0.9405 0.2005
W4 0.1190 0.5557 0.6635
W5 0.4952 0.0119 0.5110
W6 0.6257 0.3904 0.0495
W7 0.3421 0.6273 0.9731
V1 0.8002 0.7813 0.5867

Calculated values
The energy of formation from the pure elements is 2.6 eV per formula unit. As for the crystal system: triclinic. The value obtained for the volume is 200.5 Å³/f.u.


Record 11
V4Mo5W2 | GGA-PBE | optimized geometry

Unit cell a=2.6736 b=6.8472 c=9.4395 alpha=94.65 beta=78.30 gamma=98.32
Fractional positions:
Mo1 0.8390 0.9098 0.7186
Mo2 0.5000 0.0000 0.0000
Mo3 0.1610 0.0902 0.2814
Mo4 0.0830 0.5460 0.6344
Mo5 0.9170 0.4540 0.3656
V1 0.7650 0.3650 0.0920
V2 0.2350 0.6350 0.9080
V3 0.6467 0.8186 0.4551
V4 0.3533 0.1814 0.5449
W1 0.5040 0.2794 0.8173
W2 0.4960 0.7206 0.1827

Calculated values
The energy of formation from the pure elements is 0.2 eV per formula unit. As for the crystal system: triclinic. The value obtained for the volume is 167.2 Å³/f.u.


Record 12
VMoW2 | GGA-PBE | optimized geometry

Unit cell a=7.0585 b=7.0585 c=5.6609 alpha=51.43 beta=51.43 gamma=90.00
Fractional positions:
Mo1 0.0000 0.0000 0.0000
Mo2 0.7500 0.2500 0.5000
W1 0.6209 0.1250 0.2500
W2 0.1291 0.6250 0.2500
W3 0.3750 0.3791 0.7500
W4 0.8750 0.8709 0.7500
V1 0.5000 0.5000 0.0000
V2 0.2500 0.7500 0.5000

Calculated values
The energy of formation from the pure elements is 3.5 eV per formula unit. The value obtained for the offset from the most stable computed form is 970 meV/atom. As for the crystal system: tetragonal. The value obtained for the volume is 66.5 Å³/f.u.